(1)
PBE RbNClF2, optimized geometry; crystal system = tetragonal; VASP energy = -3.318 eV per atom; energy above the most stable polymorph in this dataset = 0 meV/atom; E_form (uncorrected) = -0.342 eV per atom
1.0
4.967 0.000 0.000
0.000 4.967 0.000
0.000 0.000 3.416
N F Rb Cl
1 2 1 1
direct
0.000 0.000 0.500
0.000 0.500 0.000
0.500 0.000 0.000
0.500 0.500 0.500
0.000 0.000 0.000

---

(2)
PBE LiInAg6, optimized geometry; crystal system = hexagonal; VASP energy = -2.821 eV per atom; energy above the most stable polymorph in this dataset = 0 meV/atom
1.0
-2.907 2.807 -2.668
3.176 -1.242 -4.768
-4.574 -3.374 1.435
Li In Ag
1 1 6
direct
0.000 0.083 0.917
0.500 0.417 0.583
0.000 0.080 0.415
0.000 0.585 0.920
0.000 0.585 0.415
0.500 0.415 0.082
0.500 0.918 0.585
0.500 0.918 0.082

---

Look up the VASP energy of the second one. -2.821 eV per atom

---

Number 2 is which compound? LiInAg6

---

Look up the VASP energy of the first one. -3.318 eV per atom